A plane-wave DFT calculation with meta-GGA SCAN was carried out for a crystal of CaCoSe relaxed with PBEsol.

Computed properties:
Space-group type: No. 187
Excess energy over the best structure of this formula in the dataset, meV/atom: 0
Mass density, g/cm3: 5.37
DOS at the Fermi energy, states/eV/f.u.: 2.119

The structure in extended XYZ format:
```
3
Lattice="3.933 0.000 0.000 -1.966 3.406 0.000 0.000 0.000 4.109" Properties=species:S:1:pos:R:3 pbc="T T T"
Ca 0.000 0.000 0.000
Co 1.966 1.135 2.054
Se 0.000 2.271 2.054
```

A plane-wave DFT calculation with meta-GGA SCAN was carried out for a crystal of LiSiRh2 relaxed with PBEsol.

Computed properties:
VASP energy, Ry per atom: -1.50194
Space-group type: No. 25
Mass density, g/cm3: 8.01
DOS at the Fermi energy, states/eV/f.u.: 2.982

The structure in extended XYZ format:
```
4
Lattice="2.702 0.000 0.000 0.000 3.663 0.000 0.000 0.000 5.046" Properties=species:S:1:pos:R:3 pbc="T T T"
Li 0.000 0.000 0.000
Si 1.351 1.831 3.658
Rh 0.000 0.000 2.598
Rh 1.351 1.831 1.014
```

A plane-wave DFT calculation with meta-GGA SCAN was carried out for a crystal of CuRe2Si relaxed with PBEsol.

Computed properties:
VASP energy, Ry per atom: -3.05923
Space-group type: No. 10
Mass density, g/cm3: 14.29
DOS at the Fermi energy, states/eV/f.u.: 2.715

The structure in extended XYZ format:
```
4
Lattice="2.694 0.000 0.000 0.000 4.004 0.000 -1.033 0.000 4.999" Properties=species:S:1:pos:R:3 pbc="T T T"
Cu 0.000 0.000 0.000
Re 0.040 2.002 3.743
Re 1.621 2.002 1.257
Si 0.831 0.000 2.500
```

A plane-wave DFT calculation with meta-GGA SCAN was carried out for a crystal of YCoTe2I relaxed with PBEsol.

Computed properties:
VASP energy, Ry per atom: -2.31836
Space-group type: No. 123
Mass density, g/cm3: 6.88
DOS at the Fermi energy, states/eV/f.u.: 1.416

The structure in extended XYZ format:
```
5
Lattice="5.031 0.000 0.000 0.000 5.031 0.000 0.000 0.000 5.055" Properties=species:S:1:pos:R:3 pbc="T T T"
Y 0.000 0.000 0.000
Co 2.516 2.516 2.527
Te 0.000 2.516 2.527
Te 2.516 0.000 2.527
I 2.516 2.516 0.000
```

A plane-wave DFT calculation with meta-GGA SCAN was carried out for a crystal of Ga3SbIr relaxed with PBEsol.

Computed properties:
VASP energy, Ry per atom: -2.19956
Space-group type: No. 221
Mass density, g/cm3: 6.89
DOS at the Fermi energy, states/eV/f.u.: 4.630

The structure in extended XYZ format:
```
5
Lattice="5.015 0.000 0.000 0.000 5.015 0.000 0.000 0.000 5.015" Properties=species:S:1:pos:R:3 pbc="T T T"
Ga 0.000 0.000 2.508
Ga 0.000 2.508 0.000
Ga 2.508 0.000 0.000
Sb 0.000 0.000 0.000
Ir 2.508 2.508 2.508
```

A plane-wave DFT calculation with meta-GGA SCAN was carried out for a crystal of InAg2Ir relaxed with PBEsol.

Computed properties:
Energy of formation from the pure elements, meV per atom: 278
Space-group type: No. 35
Mass density, g/cm3: 12.78
DOS at the Fermi energy, states/eV/f.u.: 1.750

The structure in extended XYZ format:
```
8
Lattice="2.991 0.000 0.000 0.000 4.862 0.000 0.000 0.000 9.341" Properties=species:S:1:pos:R:3 pbc="T T T"
In 0.000 0.000 0.000
In 1.495 2.431 0.000
Ag 0.000 0.000 4.551
Ag 0.000 2.431 6.880
Ag 1.495 0.000 6.880
Ag 1.495 2.431 4.551
Ir 0.000 2.431 2.250
Ir 1.495 0.000 2.250
```

Number 1 is which compound?
CaCoSe